DFT (PBE) results for an optimized crystal structure of CaTcAu2.

Cell: 4.8454 3.0661 5.0411 Å, 89.95 90.00 90.00°
With the nearest neighbours (Å) after each atom.
Fractional positions:
Ca: 0.0000 0.6247 0.4274  8 Au 2.92-2.98, 2 Ca 3.07, 2 Tc 3.19
Au: 0.0000 0.1248 0.9200  4 Tc 2.89-2.90, 4 Ca 2.92-2.98, 4 Au 3.07-3.13
Au: 0.5000 0.1248 0.3132  4 Tc 2.84-3.07, 4 Ca 2.92, 4 Au 3.07-3.13
Tc: 0.5000 0.6258 0.8393  8 Au 2.84-3.07, 2 Tc 3.07

- final energy (eV/cell) = -18.8
- total magnetization (μB per atom) = 0.00
- SG = Pmm2, No. 25
- crystal system = orthorhombic
- energy of formation (meV per atom) = 19
- distance to the lowest polymorph of the same formula (eV per formula unit) = 0.000